Density functional theory data (PBE) for a relaxed structure of SrDyUN3.

Output
- ΔE_f (raw): -1229.7 meV per atom
- Electronic total energy: -8.32 eV per atom

Cell lengths 3.575, 6.092, 9.223 Å; angles 102.24, 90.00, 90.00 degrees
Last column: magnetic moment on the atom in μB.
Element x y z (fractional)
Sr 0.750 0.653 0.689  0.04
Sr 0.250 0.347 0.311  0.04
Dy 0.250 0.140 0.640  0.15
Dy 0.750 0.860 0.360  0.15
U 0.250 0.763 0.039  1.70
U 0.750 0.237 0.961  1.70
N 0.250 0.775 0.491  0.00
N 0.750 0.030 0.130  -0.09
N 0.750 0.549 0.133  -0.09
N 0.750 0.225 0.509  0.00
N 0.250 0.451 0.867  -0.09
N 0.250 0.970 0.870  -0.09